Record 1
4
Lattice="-1.4879 2.0763 6.5307 1.4879 -2.0763 6.5307 1.4879 2.0763 -6.5307" Properties=species:S:1:pos:R:3 comment="Al2RhPb, optimized geometry, DFT PBE" magnetic_moment_mub_per_fu=0.00 energy_ev_per_cell=-19.72 space_group="No. 44" dos_at_fermi_per_ev_fu=1.42 pbc="T T T"
Al 0.0000 0.0000 0.0000
Al 0.0000 2.0763 2.1147
Rh 1.4879 0.0000 2.0150
Pb 0.0000 0.0000 4.7159

Record 2
4
Lattice="2.0423 1.1791 9.5648 -2.0423 1.1791 9.5648 0.0000 -2.3583 9.5648" Properties=species:S:1:pos:R:3 comment="Pm2HoSb, optimized geometry, DFT PBE" magnetic_moment_mub_per_fu=1.00 raw_formation_energy_ev_per_atom=-0.3357 space_group="No. 160" dos_at_fermi_per_ev_fu=4.35 pbc="T T T"
Pm 0.0000 0.0000 0.0000
Pm 0.0000 0.0000 5.6143
Ho 0.0000 0.0000 21.9373
Sb 0.0000 0.0000 17.1613